# ScAs2P (PBE-GGA, optimized geometry)
data_ScAs2P
_chemical_formula_sum 'Sc4 As8 P4'
_cell_length_a 5.915
_cell_length_b 5.915
_cell_length_c 11.837
_cell_angle_alpha 90.00
_cell_angle_beta 90.00
_cell_angle_gamma 90.00
_space_group_name_H-M_alt 'I -4 2 d'
_space_group_IT_number 122
_space_group_name_Hall 'I -4 2bw'
loop_
_atom_site_label
_atom_site_type_symbol
_atom_site_fract_x
_atom_site_fract_y
_atom_site_fract_z
Sc1 Sc 0.000 0.000 0.000
As1 As 0.221 0.250 0.625
P1 P 0.000 0.000 0.500
# total magnetic moment = 0.00 μB per formula unit
# crystal system = tetragonal
# E_form = -0.62 eV/f.u.
# DOS at the Fermi energy = 2.7 states/eV/cell


# ScAs2P (PBE-GGA, optimized geometry)
data_ScAs2P
_chemical_formula_sum 'Sc3 As6 P3'
_cell_length_a 3.7318
_cell_length_b 3.7318
_cell_length_c 19.3672
_cell_angle_alpha 90.00
_cell_angle_beta 90.00
_cell_angle_gamma 120.00
_space_group_name_H-M_alt 'R -3 m'
_space_group_IT_number 166
_space_group_name_Hall '-R 3 2"'
loop_
_atom_site_label
_atom_site_type_symbol
_atom_site_fract_x
_atom_site_fract_y
_atom_site_fract_z
Sc1 Sc 0.0000 0.0000 0.0000
As1 As 0.0000 0.0000 0.2436
P1 P 0.0000 0.0000 0.5000
# total magnetic moment = 0.00 μB per formula unit
# crystal system = trigonal
# E_form = -1.39 eV/f.u.
# DOS at the Fermi energy = 1.4 states/eV/cell